Crystalline LaCrCo2 at its relaxed geometry. Source: Alexandria, functional PBEsol.

abc: 3.066 3.994 5.355
angles: 90.00 103.11 90.00
Element x y z (fractional)
La (0.000, 0.000, 0.000)
Cr (0.221, 0.500, 0.548)
Co (0.580, 0.000, 0.514)
Co (0.604, 0.500, 0.248)

- electronic total energy (eV/cell) = -29.490
- SG = No. 6
- formation enthalpy at 0 K (meV per atom) = 393
- volume (Å³/f.u.) = 63.9

***

Crystalline CaGaAs2Se at its relaxed geometry. Source: Alexandria, functional PBEsol.

abc: 5.303 5.303 5.286
angles: 90.00 90.00 90.00
Element x y z (fractional)
Ca (0.000, 0.000, 0.000)
Ga (0.500, 0.500, 0.500)
As (0.000, 0.500, 0.000)
As (0.500, 0.000, 0.000)
Se (0.000, 0.000, 0.500)

- electronic total energy (eV/cell) = -16.909
- SG = No. 123
- E above lowest polymorph (meV/atom) = 649.8
- volume (Å³/f.u.) = 148.6
- uncorrected formation energy (eV/atom) = 0.525

***

Crystalline ScZn2Fe at its relaxed geometry. Source: Alexandria, functional PBEsol.

abc: 3.876 3.876 7.732
angles: 90.00 90.00 90.00
Element x y z (fractional)
Sc (0.000, 0.000, 0.000)
Sc (0.500, 0.500, 0.500)
Zn (0.000, 0.000, 0.500)
Zn (0.000, 0.500, 0.250)
Zn (0.500, 0.000, 0.750)
Zn (0.500, 0.500, 0.000)
Fe (0.000, 0.500, 0.750)
Fe (0.500, 0.000, 0.250)

- electronic total energy (eV/cell) = -37.846
- SG = No. 119
- formation enthalpy at 0 K (meV per atom) = -48
- volume (Å³/f.u.) = 58.1

***

Crystalline BeInSb2 at its relaxed geometry. Source: Alexandria, functional PBEsol.

abc: 9.992 3.724 5.553
angles: 90.00 115.00 90.00
Element x y z (fractional)
Be (0.000, 0.000, 0.000)
Be (0.500, 0.500, 0.000)
In (0.269, 0.000, 0.004)
In (0.769, 0.500, 0.004)
Sb (0.121, 0.500, 0.333)
Sb (0.443, 0.000, 0.665)
Sb (0.621, 0.000, 0.333)
Sb (0.943, 0.500, 0.665)

- electronic total energy (eV/cell) = -30.030
- SG = No. 8
- E above lowest polymorph (meV/atom) = 0.0
- volume (Å³/f.u.) = 93.6
- uncorrected formation energy (eV/atom) = 0.271

***

Crystalline LaAlAgSb2 at its relaxed geometry. Source: Alexandria, functional PBEsol.

abc: 5.909 5.909 5.620
angles: 90.00 90.00 90.00
Element x y z (fractional)
La (0.000, 0.000, 0.000)
Al (0.500, 0.500, 0.500)
Ag (0.000, 0.000, 0.500)
Sb (0.000, 0.500, 0.000)
Sb (0.500, 0.000, 0.000)

- electronic total energy (eV/cell) = -17.599
- SG = No. 123
- volume (Å³/f.u.) = 196.3
- uncorrected formation energy (eV/atom) = 0.853

***

Crystalline ScTaSb2N at its relaxed geometry. Source: Alexandria, functional PBEsol.

abc: 4.885 4.885 3.985
angles: 90.00 90.00 90.00
Element x y z (fractional)
Sc (0.000, 0.000, 0.000)
Ta (0.500, 0.500, 0.000)
Sb (0.000, 0.500, 0.500)
Sb (0.500, 0.000, 0.500)
N (0.500, 0.500, 0.500)

- electronic total energy (eV/cell) = -37.628
- SG = No. 123
- volume (Å³/f.u.) = 95.1
- uncorrected formation energy (eV/atom) = -0.166

***

What is the electronic total energy in the second record? -16.909 eV/cell